Record 1
The following is a DFT calculation (GGA-PBE) of a relaxed FeHgAs2 crystal.

Its total magnetization is 2.6 Bohr magnetons per cell. The value obtained for the formation enthalpy at 0 K is 0.543 eV per atom.

The structure belongs to space group P4/mmm (No. 123); the cell edges are 4.4562, 4.4562 and 3.6993 Å and the angles 90.00°, 90.00° and 90.00°. The inequivalent atoms are Fe at (0.0000, 0.0000, 0.0000), Hg at (0.5000, 0.5000, 0.0000) and As at (0.0000, 0.5000, 0.5000).

***

Record 2
The following is a DFT calculation (GGA-PBE) of a relaxed K3DySb2S6 crystal.

The formation energy from raw total energies comes out at -1094 meV per atom. Its total magnetization is 0.0 Bohr magnetons per cell.

The structure belongs to space group C2/m (No. 12); the cell edges are 7.0625, 12.2317 and 7.7255 Å and the angles 90.00°, 107.73° and 90.00°. The inequivalent atoms are K at (0.0000, 0.0000, 0.0000), K at (0.0000, 0.3313, 0.0000), Dy at (0.0000, 0.5000, 0.5000), Sb at (0.0000, 0.1664, 0.5000), S at (0.2329, 0.3347, 0.7029) and S at (0.2371, 0.0000, 0.7034).

***

Record 3
The following is a DFT calculation (GGA-PBE) of a relaxed CaNd4S7 crystal.

The formation energy from raw total energies comes out at -2043 meV per atom. Its total magnetization is 0.0 Bohr magnetons per cell.

The structure belongs to space group Cm (No. 8); the cell edges are 13.3054, 3.9825 and 11.9140 Å and the angles 90.00°, 105.18° and 90.00°. The inequivalent atoms are Ca at (0.0000, 0.0000, 0.0000), Nd at (0.1210, 0.0000, 0.4186), Nd at (0.2284, 0.0000, 0.8490), Nd at (0.3147, 0.5000, 0.2274), Nd at (0.4275, 0.0000, 0.6240), S at (0.0765, 0.0000, 0.6346), S at (0.1040, 0.5000, 0.9057), S at (0.1613, 0.0000, 0.2030), S at (0.2802, 0.5000, 0.4737), S at (0.3518, 0.5000, 0.7735), S at (0.3759, 0.0000, 0.0715) and S at (0.4615, 0.0000, 0.3739).

***

Record 4
The following is a DFT calculation (GGA-PBE) of a relaxed RbNbSe2N crystal.

The formation energy from raw total energies comes out at 2183 meV per atom. Its total magnetization is 0.0 Bohr magnetons per cell. The distance to the lowest polymorph of the same formula comes out at 2.611 eV/atom.

The structure belongs to space group P4/mmm (No. 123); the cell edges are 5.4686, 5.4686 and 4.0639 Å and the angles 90.00°, 90.00° and 90.00°. The inequivalent atoms are Rb at (0.0000, 0.0000, 0.0000), Nb at (0.5000, 0.5000, 0.5000), Se at (0.0000, 0.5000, 0.0000) and N at (0.0000, 0.0000, 0.5000).

***

Record 5
The following is a DFT calculation (GGA-PBE) of a relaxed PdRhO2 crystal.

The formation energy from raw total energies comes out at -304 meV per atom. Its total magnetization is 0.0 Bohr magnetons per cell.

The structure belongs to space group P3m1 (No. 156); the cell edges are 3.0270, 3.0270 and 6.3456 Å and the angles 90.00°, 90.00° and 120.00°. The inequivalent atoms are Pd at (0.0000, 0.0000, 0.0000), Rh at (0.6667, 0.3333, 0.4855), O at (0.0000, 0.0000, 0.3203) and O at (0.3333, 0.6667, 0.6598).

***

Record 6
The following is a DFT calculation (GGA-PBE) of a relaxed CrTe2Ir crystal.

The formation energy from raw total energies comes out at 63 meV per atom. Its total magnetization is 5.8 Bohr magnetons per cell. The distance to the lowest polymorph of the same formula comes out at 0.135 eV/atom.

The structure belongs to space group Amm2 (No. 38); the cell edges are 4.6037, 5.2140 and 7.3558 Å and the angles 90.00°, 90.00° and 90.00°. The inequivalent atoms are Cr at (0.0000, 0.0000, 0.0000), Te at (0.0000, 0.0000, 0.3809), Te at (0.5000, 0.0000, 0.8006) and Ir at (0.5000, 0.0000, 0.1799).

***

- What is the total magnetization in the first record?
  2.6 Bohr magnetons per cell

***

Copy entry 4 word for word.
The following is a DFT calculation (GGA-PBE) of a relaxed RbNbSe2N crystal.

The formation energy from raw total energies comes out at 2183 meV per atom. Its total magnetization is 0.0 Bohr magnetons per cell. The distance to the lowest polymorph of the same formula comes out at 2.611 eV/atom.

The structure belongs to space group P4/mmm (No. 123); the cell edges are 5.4686, 5.4686 and 4.0639 Å and the angles 90.00°, 90.00° and 90.00°. The inequivalent atoms are Rb at (0.0000, 0.0000, 0.0000), Nb at (0.5000, 0.5000, 0.5000), Se at (0.0000, 0.5000, 0.0000) and N at (0.0000, 0.0000, 0.5000).

***

- Which of these has the highest total magnetization?
  CrTe2Ir

***

- The highest total magnetization belongs to which entry?
  CrTe2Ir